[1]
VASP calculation (GGA-PBEsol) on a geometry-optimized ReIrW2 structure.

calculated volume = 60.3 Å³/cell
space-group type = R-3m
calculated formation energy = 0.4 eV per formula unit

Lattice parameters (Å, degrees): 2.759 2.759 9.276 81.45 81.45 60.00
Fractional positions:
Ir1 0.500 0.500 0.500
W1 0.751 0.751 0.747
W2 0.249 0.249 0.253
Re1 0.000 0.000 0.000

---

[2]
VASP calculation (GGA-PBEsol) on a geometry-optimized GaPH4O6 structure.

calculated volume = 830.4 Å³/cell
space-group type = Pbca
E = -6.0986 eV/atom

Lattice parameters (Å, degrees): 8.580 9.720 9.956 90.00 90.00 90.00
Fractional positions:
H1 0.793 0.545 0.928
H2 0.343 0.082 0.324
H3 0.793 0.955 0.428
H4 0.643 0.569 0.536
H5 0.191 0.178 0.378
H6 0.707 0.455 0.428
H7 0.143 0.931 0.464
H8 0.157 0.582 0.324
H9 0.809 0.678 0.122
H10 0.343 0.418 0.824
H11 0.309 0.822 0.878
H12 0.157 0.918 0.824
H13 0.657 0.582 0.176
H14 0.843 0.418 0.676
H15 0.657 0.918 0.676
H16 0.293 0.545 0.572
H17 0.809 0.822 0.622
H18 0.357 0.431 0.464
H19 0.857 0.069 0.536
H20 0.191 0.322 0.878
H21 0.857 0.431 0.036
H22 0.293 0.955 0.072
H23 0.643 0.931 0.036
H24 0.207 0.455 0.072
H25 0.691 0.322 0.622
H26 0.707 0.045 0.928
H27 0.357 0.069 0.964
H28 0.691 0.178 0.122
H29 0.309 0.678 0.378
H30 0.207 0.045 0.572
H31 0.143 0.569 0.964
H32 0.843 0.082 0.176
O1 0.229 0.109 0.309
O2 0.669 0.946 0.941
O3 0.495 0.985 0.645
O4 0.699 0.672 0.890
O5 0.801 0.328 0.390
O6 0.199 0.828 0.110
O7 0.699 0.828 0.390
O8 0.771 0.891 0.691
O9 0.331 0.446 0.559
O10 0.506 0.202 0.791
O11 0.005 0.485 0.645
O12 0.088 0.289 0.450
O13 0.301 0.328 0.110
O14 0.088 0.211 0.950
O15 0.494 0.702 0.709
O16 0.506 0.298 0.291
O17 0.669 0.554 0.441
O18 0.912 0.711 0.550
O19 0.771 0.609 0.191
O20 0.271 0.891 0.809
O21 0.505 0.015 0.355
O22 0.199 0.672 0.610
O23 0.994 0.798 0.291
O24 0.994 0.702 0.791
O25 0.729 0.109 0.191
O26 0.301 0.172 0.610
O27 0.271 0.609 0.309
O28 0.995 0.515 0.355
O29 0.729 0.391 0.691
O30 0.412 0.789 0.450
O31 0.006 0.202 0.709
O32 0.169 0.554 0.059
O33 0.831 0.446 0.941
O34 0.801 0.172 0.890
O35 0.494 0.798 0.209
O36 0.331 0.054 0.059
O37 0.495 0.515 0.145
O38 0.006 0.298 0.209
O39 0.831 0.054 0.441
O40 0.995 0.985 0.855
O41 0.912 0.789 0.050
O42 0.169 0.946 0.559
O43 0.588 0.289 0.050
O44 0.588 0.211 0.550
O45 0.412 0.711 0.950
O46 0.505 0.485 0.855
O47 0.229 0.391 0.809
O48 0.005 0.015 0.145
Ga1 0.657 0.170 0.367
Ga2 0.657 0.330 0.867
Ga3 0.843 0.670 0.367
Ga4 0.157 0.330 0.633
Ga5 0.343 0.830 0.633
Ga6 0.157 0.170 0.133
Ga7 0.343 0.670 0.133
Ga8 0.843 0.830 0.867
P1 0.973 0.143 0.850
P2 0.973 0.357 0.350
P3 0.527 0.857 0.350
P4 0.027 0.643 0.650
P5 0.027 0.857 0.150
P6 0.473 0.143 0.650
P7 0.527 0.643 0.850
P8 0.473 0.357 0.150